# 1
First-principles (PBE) data for crystalline CdFeNi2 at its relaxed geometry, as listed in the Alexandria database.

Calculated values
- ΔE_f: 0.2394 eV per atom
- Total magnetic moment: 0.9265 μB/atom
- Symmetry: R3m (160)

```
CdFeNi2
1.0
1.350 0.779 8.612
-1.350 0.779 8.612
0.000 -1.559 8.612
Cd Fe Ni
1 1 2
Cartesian
0.000 0.000 0.000
0.000 0.000 19.673
0.000 0.000 6.330
0.000 0.000 12.987
```

=====

# 2
First-principles (PBE) data for crystalline CdFeNi2 at its relaxed geometry, as listed in the Alexandria database.

Calculated values
- ΔE_f: 0.1561 eV per atom
- Total magnetic moment: 0.8943 μB/atom
- Symmetry: Cm (8)

```
CdFeNi2
1.0
4.444 -1.359 0.000
4.444 1.359 0.000
-0.973 0.000 4.458
Cd Fe Ni
1 1 2
Cartesian
0.000 0.000 0.000
6.497 0.000 1.389
1.421 0.000 3.366
4.011 0.000 2.232
```

=====

# 3
First-principles (PBE) data for crystalline CdFeNi2 at its relaxed geometry, as listed in the Alexandria database.

Calculated values
- ΔE_f: 0.0400 eV per atom
- Total magnetic moment: 0.9634 μB/atom
- Symmetry: P4/mmm (123)

```
CdFeNi2
1.0
2.906 0.000 0.000
0.000 2.906 0.000
0.000 0.000 6.420
Cd Fe Ni
1 1 2
Cartesian
0.000 0.000 0.000
0.000 0.000 3.210
1.453 1.453 1.886
1.453 1.453 4.534
```

=====

# 4
First-principles (PBE) data for crystalline Cd2FeNi at its relaxed geometry, as listed in the Alexandria database.

Calculated values
- ΔE_f: 0.2808 eV per atom
- Offset from the most stable computed form: 159 meV per atom
- Total magnetic moment: 0.6187 μB/atom
- Symmetry: P4/mmm (123)

```
Cd2FeNi
1.0
4.655 0.000 0.000
0.000 4.655 0.000
0.000 0.000 2.926
Cd Fe Ni
2 1 1
Cartesian
0.000 2.328 0.000
2.328 0.000 0.000
0.000 0.000 1.463
2.328 2.328 1.463
```